1.
Computed, not measured: Ti2RuRh after structural relaxation at the PBE-GGA level of DFT.

Calculated values
magnetic moment	0.0	Bohr magnetons per cell
E_tot	-8.854	eV per atom
E_form	-0.750	eV per atom

```
data_Ti2RuRh
_space_group_name_H-M_alt 'P 4/m m m'
_space_group_IT_number 123
_space_group_name_Hall '-P 4 2'
_cell_length_a 3.110
_cell_length_b 3.110
_cell_length_c 6.120
_cell_angle_alpha 90.00
_cell_angle_beta 90.00
_cell_angle_gamma 90.00
loop_
_atom_site_label
_atom_site_type_symbol
_atom_site_fract_x
_atom_site_fract_y
_atom_site_fract_z
Ti1 Ti 0.000 0.000 0.247
Ru1 Ru 0.500 0.500 0.000
Rh1 Rh 0.500 0.500 0.500
```

***

2.
Computed, not measured: AcNd2Sm after structural relaxation at the PBE-GGA level of DFT.

Calculated values
magnetic moment	0.0	Bohr magnetons per cell
excess energy over the best structure of this formula in the dataset	0.05	eV per formula unit
E_tot	-4.553	eV per atom
E_form	0.038	eV per atom

```
data_AcNd2Sm
_space_group_name_H-M_alt 'R 3 m'
_space_group_IT_number 160
_space_group_name_Hall 'R 3 -2"'
_cell_length_a 3.7614
_cell_length_b 3.7614
_cell_length_c 36.5311
_cell_angle_alpha 90.00
_cell_angle_beta 90.00
_cell_angle_gamma 120.00
loop_
_atom_site_label
_atom_site_type_symbol
_atom_site_fract_x
_atom_site_fract_y
_atom_site_fract_z
Ac1 Ac 0.0000 0.0000 0.0000
Nd1 Nd 0.0000 0.0000 0.5802
Nd2 Nd 0.0000 0.0000 0.7533
Sm1 Sm 0.0000 0.0000 0.1667
```

***

3.
Computed, not measured: Ac5HgPd2 after structural relaxation at the PBE-GGA level of DFT.

Calculated values
magnetic moment	0.0	Bohr magnetons per cell
E_tot	-4.409	eV per atom
E_form	-0.506	eV per atom

```
data_Ac5HgPd2
_space_group_name_H-M_alt 'I b a m'
_space_group_IT_number 72
_space_group_name_Hall '-I 2 2c'
_cell_length_a 8.535
_cell_length_b 8.568
_cell_length_c 14.561
_cell_angle_alpha 90.00
_cell_angle_beta 90.00
_cell_angle_gamma 90.00
loop_
_atom_site_label
_atom_site_type_symbol
_atom_site_fract_x
_atom_site_fract_y
_atom_site_fract_z
Ac1 Ac 0.000 0.000 0.000
Ac2 Ac 0.160 0.339 0.140
Hg1 Hg 0.000 0.000 0.250
Pd1 Pd 0.132 0.369 0.500
```

***

4.
Computed, not measured: YTi2Ru after structural relaxation at the PBE-GGA level of DFT.

Calculated values
magnetic moment	0.0	Bohr magnetons per cell
excess energy over the best structure of this formula in the dataset	0.11	eV per formula unit
E_tot	-7.819	eV per atom
E_form	0.064	eV per atom

```
data_YTi2Ru
_space_group_name_H-M_alt 'I -4 2 d'
_space_group_IT_number 122
_space_group_name_Hall 'I -4 2bw'
_cell_length_a 7.520
_cell_length_b 7.520
_cell_length_c 5.825
_cell_angle_alpha 90.00
_cell_angle_beta 90.00
_cell_angle_gamma 90.00
loop_
_atom_site_label
_atom_site_type_symbol
_atom_site_fract_x
_atom_site_fract_y
_atom_site_fract_z
Y1 Y 0.000 0.000 0.000
Ti1 Ti 0.185 0.250 0.625
Ru1 Ru 0.000 0.000 0.500
```

***

5.
Computed, not measured: AcGdDyGa after structural relaxation at the PBE-GGA level of DFT.

Calculated values
magnetic moment	33.5	Bohr magnetons per cell
E_tot	-6.427	eV per atom
E_form	0.027	eV per atom

```
data_AcGdDyGa
_space_group_name_H-M_alt 'F -4 3 m'
_space_group_IT_number 216
_space_group_name_Hall 'F -4 2 3'
_cell_length_a 7.793
_cell_length_b 7.793
_cell_length_c 7.793
_cell_angle_alpha 90.00
_cell_angle_beta 90.00
_cell_angle_gamma 90.00
loop_
_atom_site_label
_atom_site_type_symbol
_atom_site_fract_x
_atom_site_fract_y
_atom_site_fract_z
Ac1 Ac 0.000 0.000 0.000
Gd1 Gd 0.250 0.250 0.250
Dy1 Dy 0.250 0.250 0.750
Ga1 Ga 0.000 0.000 0.500
```

***

6.
Computed, not measured: BeVAg after structural relaxation at the PBE-GGA level of DFT.

Calculated values
magnetic moment	0.0	Bohr magnetons per cell
excess energy over the best structure of this formula in the dataset	0.55	eV per formula unit
E_tot	-4.941	eV per atom
E_form	0.291	eV per atom

```
data_BeVAg
_space_group_name_H-M_alt 'C 1 2/m 1'
_space_group_IT_number 12
_space_group_name_Hall '-C 2y'
_cell_length_a 5.584
_cell_length_b 10.855
_cell_length_c 2.973
_cell_angle_alpha 90.00
_cell_angle_beta 116.75
_cell_angle_gamma 90.00
loop_
_atom_site_label
_atom_site_type_symbol
_atom_site_fract_x
_atom_site_fract_y
_atom_site_fract_z
Be1 Be 0.000 0.102 0.000
V1 V 0.183 0.500 0.279
Ag1 Ag 0.000 0.279 0.500
```

***

7.
Computed, not measured: SrZnRe4 after structural relaxation at the PBE-GGA level of DFT.

Calculated values
magnetic moment	0.0	Bohr magnetons per cell
E_tot	-8.195	eV per atom
E_form	0.597	eV per atom

```
data_SrZnRe4
_space_group_name_H-M_alt 'F -4 3 m'
_space_group_IT_number 216
_space_group_name_Hall 'F -4 2 3'
_cell_length_a 7.597
_cell_length_b 7.597
_cell_length_c 7.597
_cell_angle_alpha 90.00
_cell_angle_beta 90.00
_cell_angle_gamma 90.00
loop_
_atom_site_label
_atom_site_type_symbol
_atom_site_fract_x
_atom_site_fract_y
_atom_site_fract_z
Sr1 Sr 0.000 0.000 0.000
Zn1 Zn 0.250 0.250 0.750
Re1 Re 0.124 0.124 0.376
```

***

8.
Computed, not measured: NiAsW2 after structural relaxation at the PBE-GGA level of DFT.

Calculated values
magnetic moment	0.0	Bohr magnetons per cell
E_tot	-8.911	eV per atom
E_form	0.173	eV per atom

```
data_NiAsW2
_space_group_name_H-M_alt 'P 4 m m'
_space_group_IT_number 99
_space_group_name_Hall 'P 4 -2'
_cell_length_a 3.263
_cell_length_b 3.263
_cell_length_c 5.555
_cell_angle_alpha 90.00
_cell_angle_beta 90.00
_cell_angle_gamma 90.00
loop_
_atom_site_label
_atom_site_type_symbol
_atom_site_fract_x
_atom_site_fract_y
_atom_site_fract_z
Ni1 Ni 0.000 0.000 0.000
As1 As 0.500 0.500 0.754
W1 W 0.000 0.000 0.492
W2 W 0.500 0.500 0.225
```

***

9.
Computed, not measured: BaLa4S5 after structural relaxation at the PBE-GGA level of DFT.

Calculated values
magnetic moment	0.0	Bohr magnetons per cell
E_tot	-6.347	eV per atom
formation energy from raw total energies	-2120	meV per atom

```
data_BaLa4S5
_space_group_name_H-M_alt 'C 1 2/m 1'
_space_group_IT_number 12
_space_group_name_Hall '-C 2y'
_cell_length_a 14.072
_cell_length_b 4.202
_cell_length_c 10.378
_cell_angle_alpha 90.00
_cell_angle_beta 119.68
_cell_angle_gamma 90.00
loop_
_atom_site_label
_atom_site_type_symbol
_atom_site_fract_x
_atom_site_fract_y
_atom_site_fract_z
Ba1 Ba 0.000 0.000 0.000
La1 La 0.097 0.500 0.401
La2 La 0.200 0.000 0.792
S1 S 0.000 0.000 0.500
S2 S 0.111 0.500 0.895
S3 S 0.203 0.000 0.312
```

***

10.
Computed, not measured: Cs3RhF8 after structural relaxation at the PBE-GGA level of DFT.

Calculated values
magnetic moment	0.5	Bohr magnetons per cell
E_tot	-4.115	eV per atom
formation energy from raw total energies	-2042	meV per atom

```
data_Cs3RhF8
_space_group_name_H-M_alt 'I 4/m m m'
_space_group_IT_number 139
_space_group_name_Hall '-I 4 2'
_cell_length_a 6.424
_cell_length_b 6.424
_cell_length_c 12.245
_cell_angle_alpha 90.00
_cell_angle_beta 90.00
_cell_angle_gamma 90.00
loop_
_atom_site_label
_atom_site_type_symbol
_atom_site_fract_x
_atom_site_fract_y
_atom_site_fract_z
Cs1 Cs 0.000 0.000 0.000
Cs2 Cs 0.000 0.500 0.250
Rh1 Rh 0.000 0.000 0.500
F1 F 0.184 0.184 0.404
```

***

11.
Computed, not measured: LaPrNi2 after structural relaxation at the PBE-GGA level of DFT.

Calculated values
magnetic moment	0.0	Bohr magnetons per cell
excess energy over the best structure of this formula in the dataset	0.75	eV per formula unit
E_tot	-5.443	eV per atom
E_form	-0.125	eV per atom

```
data_LaPrNi2
_space_group_name_H-M_alt 'R 3 m'
_space_group_IT_number 160
_space_group_name_Hall 'R 3 -2"'
_cell_length_a 4.0345
_cell_length_b 4.0345
_cell_length_c 20.8232
_cell_angle_alpha 90.00
_cell_angle_beta 90.00
_cell_angle_gamma 120.00
loop_
_atom_site_label
_atom_site_type_symbol
_atom_site_fract_x
_atom_site_fract_y
_atom_site_fract_z
La1 La 0.0000 0.0000 0.0000
Pr1 Pr 0.0000 0.0000 0.8270
Ni1 Ni 0.0000 0.0000 0.2508
Ni2 Ni 0.0000 0.0000 0.4105
```

***

12.
Computed, not measured: RbSr3Sb after structural relaxation at the PBE-GGA level of DFT.

Calculated values
magnetic moment	2.0	Bohr magnetons per cell
excess energy over the best structure of this formula in the dataset	5.82	eV per formula unit
E_tot	-1.195	eV per atom
formation energy from raw total energies	832	meV per atom

```
data_RbSr3Sb
_space_group_name_H-M_alt 'P m -3 m'
_space_group_IT_number 221
_space_group_name_Hall '-P 4 2 3'
_cell_length_a 6.366
_cell_length_b 6.366
_cell_length_c 6.366
_cell_angle_alpha 90.00
_cell_angle_beta 90.00
_cell_angle_gamma 90.00
loop_
_atom_site_label
_atom_site_type_symbol
_atom_site_fract_x
_atom_site_fract_y
_atom_site_fract_z
Rb1 Rb 0.000 0.000 0.000
Sr1 Sr 0.000 0.000 0.500
Sb1 Sb 0.500 0.500 0.500
```

***

Number 6 is which compound?
BeVAg

***

Copy entry 12 word for word.
Computed, not measured: RbSr3Sb after structural relaxation at the PBE-GGA level of DFT.

Calculated values
magnetic moment	2.0	Bohr magnetons per cell
excess energy over the best structure of this formula in the dataset	5.82	eV per formula unit
E_tot	-1.195	eV per atom
formation energy from raw total energies	832	meV per atom

```
data_RbSr3Sb
_space_group_name_H-M_alt 'P m -3 m'
_space_group_IT_number 221
_space_group_name_Hall '-P 4 2 3'
_cell_length_a 6.366
_cell_length_b 6.366
_cell_length_c 6.366
_cell_angle_alpha 90.00
_cell_angle_beta 90.00
_cell_angle_gamma 90.00
loop_
_atom_site_label
_atom_site_type_symbol
_atom_site_fract_x
_atom_site_fract_y
_atom_site_fract_z
Rb1 Rb 0.000 0.000 0.000
Sr1 Sr 0.000 0.000 0.500
Sb1 Sb 0.500 0.500 0.500
```

***

Among the records above, which one has the highest magnetic moment?
AcGdDyGa